Entry 1:
This record from the Alexandria database describes a geometry-optimized Mg2Cu2P2H12O15 structure. The functional is PBEsol.

Results
Raw total energy = -5.8072 eV/atom

a = 22.016 Å, b = 5.034 Å, c = 10.455 Å
α = 90.00°, β = 100.77°, γ = 90.00°
Space group C2/c (No. 15)
One atom of each set of equivalent atoms:
Mg 0.118 0.153 0.464 x8
Cu 0.246 0.146 0.368 x8
P 0.155 0.331 0.772 x8
H 0.009 0.210 0.070 x8
H 0.017 0.443 0.356 x8
H 0.038 0.207 0.767 x8
H 0.095 0.063 0.171 x8
H 0.106 0.322 0.091 x8
H 0.232 0.100 0.075 x8
O 0.000 0.319 0.750 x4
O 0.030 0.281 0.410 x8
O 0.087 0.137 0.080 x8
O 0.113 0.109 0.809 x8
O 0.136 0.399 0.626 x8
O 0.156 0.424 0.356 x8
O 0.214 0.055 0.523 x8
O 0.224 0.214 0.789 x8

***

Entry 2:
This record from the Alexandria database describes a geometry-optimized MgSc2Os structure. The functional is PBEsol.

Results
Raw total energy = -7.1194 eV/atom

a = 3.224 Å, b = 3.224 Å, c = 7.605 Å
α = 90.00°, β = 90.00°, γ = 90.00°
Space group P4/mmm (No. 123)
One atom of each set of equivalent atoms:
Mg 0.000 0.000 0.000 x1
Sc 0.500 0.500 0.300 x2
Os 0.000 0.000 0.500 x1

***

Entry 3:
This record from the Alexandria database describes a geometry-optimized Cd2HgPb structure. The functional is PBEsol.

Results
Raw total energy = -1.7036 eV/atom

a = 3.303 Å, b = 3.303 Å, c = 8.673 Å
α = 90.00°, β = 90.00°, γ = 90.00°
Space group P4/mmm (No. 123)
One atom of each set of equivalent atoms:
Cd 0.000 0.000 0.228 x2
Hg 0.500 0.500 0.000 x1
Pb 0.500 0.500 0.500 x1

***

> What is the raw total energy in the first record?

-5.8072 eV/atom